Be3HIr | Alexandria via LeMat-Bulk | SCAN | PBEsol geometry; VASP energy = -17.82 eV per atom
1.0
3.4213 0.0000 0.0000
0.0000 3.4213 0.0000
0.0000 0.0000 3.4213
Be H Ir
3 1 1
direct
0.0000 0.0000 0.5000
0.0000 0.5000 0.0000
0.5000 0.0000 0.0000
0.0000 0.0000 0.0000
0.5000 0.5000 0.5000

AlOsI3 | Alexandria via LeMat-Bulk | SCAN | PBEsol geometry; uncorrected formation energy = 0.729 eV/atom
1.0
5.3374 0.0000 0.0000
0.0000 5.3374 0.0000
0.0000 0.0000 5.3374
Al Os I
1 1 3
direct
0.0000 0.0000 0.0000
0.5000 0.5000 0.5000
0.0000 0.5000 0.5000
0.5000 0.0000 0.5000
0.5000 0.5000 0.0000

BiWO3 | Alexandria via LeMat-Bulk | SCAN | PBEsol geometry; uncorrected formation energy = 0.688 eV/atom
1.0
4.2564 0.0000 0.0000
0.0000 4.2564 0.0000
0.0000 0.0000 4.2564
Bi W O
1 1 3
direct
0.0000 0.0000 0.0000
0.5000 0.5000 0.5000
0.0000 0.0000 0.5000
0.0000 0.5000 0.0000
0.5000 0.0000 0.0000

Sb2MoBr | Alexandria via LeMat-Bulk | SCAN | PBEsol geometry; uncorrected formation energy = 0.082 eV/atom; relative energy among the computed polymorphs = 0 meV per atom
1.0
1.7363 1.0024 8.5538
-1.7363 1.0024 8.5538
0.0000 -2.0049 8.5538
Sb Mo Br
2 1 1
direct
0.2389 0.2389 0.2389
0.7611 0.7611 0.7611
0.5000 0.5000 0.5000
0.0000 0.0000 0.0000

BePtCl2 | Alexandria via LeMat-Bulk | SCAN | PBEsol geometry; uncorrected formation energy = -0.507 eV/atom; relative energy among the computed polymorphs = 0 meV per atom
1.0
4.7212 0.0000 0.0000
0.0000 3.2186 0.0000
-0.8696 0.0000 5.1289
Be Pt Cl
1 1 2
direct
0.0000 0.0000 0.0000
0.3274 0.5000 0.9891
0.0211 0.5000 0.2849
0.6314 0.0000 0.7496

Al12PbO19 | Alexandria via LeMat-Bulk | SCAN | PBEsol geometry; uncorrected formation energy = -3.225 eV/atom
1.0
5.5899 0.0000 0.0000
-2.7950 4.8410 0.0000
0.0000 0.0000 22.0198
Al Pb O
24 2 38
direct
0.0000 0.0000 0.0000
0.0000 0.0000 0.2416
0.0000 0.0000 0.5000
0.0000 0.0000 0.7416
0.1674 0.3348 0.3915
0.1674 0.8326 0.3915
0.1689 0.3379 0.1084
0.1689 0.8311 0.1084
0.3333 0.6667 0.5289
0.3333 0.6667 0.6903
0.3333 0.6667 0.8091
0.3333 0.6667 0.9716
0.3348 0.1674 0.8915
0.3379 0.1689 0.6084
0.6621 0.8311 0.1084
0.6652 0.8326 0.3915
0.6667 0.3333 0.0289
0.6667 0.3333 0.1903
0.6667 0.3333 0.3091
0.6667 0.3333 0.4716
0.8311 0.1689 0.6084
0.8311 0.6621 0.6084
0.8326 0.1674 0.8915
0.8326 0.6652 0.8915
0.3333 0.6667 0.2533
0.6667 0.3333 0.7533
0.0000 0.0000 0.1506
0.0000 0.0000 0.3523
0.0000 0.0000 0.6506
0.0000 0.0000 0.8523
0.0022 0.5011 0.1473
0.0029 0.5015 0.3522
0.1540 0.3081 0.5524
0.1540 0.8460 0.5524
0.1550 0.3100 0.9487
0.1550 0.8450 0.9487
0.1821 0.3641 0.7494
0.1821 0.8179 0.7494
0.3081 0.1540 0.0524
0.3100 0.1550 0.4487
0.3333 0.6667 0.0543
0.3333 0.6667 0.4461
0.3641 0.1821 0.2494
0.4989 0.5011 0.1473
0.4985 0.5015 0.3522
0.4985 0.9971 0.3522
0.4989 0.9978 0.1473
0.5011 0.0022 0.6473
0.5015 0.0029 0.8522
0.5011 0.4989 0.6473
0.5015 0.4985 0.8522
0.6359 0.8179 0.7494
0.6667 0.3333 0.5543
0.6667 0.3333 0.9461
0.6900 0.8450 0.9487
0.6919 0.8460 0.5524
0.8179 0.1821 0.2494
0.8179 0.6359 0.2494
0.8450 0.1550 0.4487
0.8450 0.6900 0.4487
0.8460 0.1540 0.0524
0.8460 0.6919 0.0524
0.9971 0.4985 0.8522
0.9978 0.4989 0.6473

Cr2AsSe | Alexandria via LeMat-Bulk | SCAN | PBEsol geometry; uncorrected formation energy = 0.080 eV/atom; relative energy among the computed polymorphs = 0 meV per atom
1.0
2.9903 0.0000 0.0000
0.0000 2.9903 0.0000
0.0000 0.0000 5.9988
Cr As Se
2 1 1
direct
0.0000 0.0000 0.2407
0.0000 0.0000 0.7593
0.5000 0.5000 0.0000
0.5000 0.5000 0.5000

ZrAgBi2Pb | Alexandria via LeMat-Bulk | SCAN | PBEsol geometry; DFT formation energy = 0.48 eV per atom
1.0
5.5515 0.0000 0.0000
0.0000 5.5515 0.0000
0.0000 0.0000 5.5939
Zr Ag Bi Pb
1 1 2 1
direct
0.0000 0.0000 0.0000
0.5000 0.5000 0.5000
0.0000 0.5000 0.0000
0.5000 0.0000 0.0000
0.0000 0.0000 0.5000